Entry from the Alexandria database: a relaxed CoTc2F crystal (PBE+U).

DOS(E_F): 13.97 states/eV/cell
ΔE to the lowest computed polymorph: 0.0000 eV/atom
E: -6.441 eV per atom
magnetic moment: 0.4 μB per formula unit

Cell: 5.791 5.791 5.791 Å, 90.00 90.00 90.00°
Space group Fm-3m (No. 225)
One atom of each set of equivalent atoms:
Co (0.000, 0.000, 0.000) x4
Tc (0.250, 0.250, 0.250) x8
F (0.000, 0.000, 0.500) x4